Here is a relaxed structure of In2RuF2 from the Alexandria database. Energies are from PBE.

Calculated values
Electronic total energy = -4.33 eV/atom
Symmetry = P4/mbm
V = 17.836 Å³ per atom
Energy above the lowest structure with this stoichiometry = 426.3 meV per atom

a b c (Å): 7.900 7.900 2.858
angles (deg): 90.00 90.00 90.00
Sites, in units of the cell vectors:
Ru 0.000 0.000 0.000
Ru 0.500 0.500 0.000
F 0.112 0.612 0.500
F 0.612 0.888 0.500
F 0.888 0.388 0.500
F 0.388 0.112 0.500
In 0.262 0.762 0.000
In 0.762 0.738 0.000
In 0.738 0.238 0.000
In 0.238 0.262 0.000

=====

Here is a relaxed structure of InRu3F from the Alexandria database. Energies are from PBE.

Calculated values
Electronic total energy = -4.47 eV/atom
Symmetry = Pm-3m
V = 25.108 Å³ per atom
Energy above the lowest structure with this stoichiometry = 1230.7 meV per atom

a b c (Å): 5.007 5.007 5.007
angles (deg): 90.00 90.00 90.00
Sites, in units of the cell vectors:
Ru 0.000 0.500 0.000
Ru 0.000 0.000 0.500
Ru 0.500 0.000 0.000
F 0.500 0.500 0.500
In 0.000 0.000 0.000

=====

Here is a relaxed structure of InRu2SF from the Alexandria database. Energies are from PBE.

Calculated values
Electronic total energy = -4.80 eV/atom
Symmetry = P4/mmm
V = 17.617 Å³ per atom

a b c (Å): 4.099 5.243 4.099
angles (deg): 90.00 90.00 90.00
Sites, in units of the cell vectors:
Ru 0.000 0.000 0.500
Ru 0.500 0.000 0.000
S 0.000 0.500 0.000
F 0.000 0.000 0.000
In 0.500 0.500 0.500

=====

Here is a relaxed structure of InRuS2F from the Alexandria database. Energies are from PBE.

Calculated values
Electronic total energy = -4.72 eV/atom
Symmetry = P4/mmm
V = 21.824 Å³ per atom

a b c (Å): 4.409 5.613 4.409
angles (deg): 90.00 90.00 90.00
Sites, in units of the cell vectors:
Ru 0.000 0.000 0.000
S 0.000 0.000 0.500
S 0.500 0.000 0.000
F 0.500 0.500 0.500
In 0.000 0.500 0.000

=====

Here is a relaxed structure of InS2F from the Alexandria database. Energies are from PBE.

Calculated values
Electronic total energy = -3.35 eV/atom
Symmetry = I-42d
V = 24.596 Å³ per atom
Energy above the lowest structure with this stoichiometry = 300.2 meV per atom

a b c (Å): 5.773 5.773 7.178
angles (deg): 66.29 66.29 90.00
Sites, in units of the cell vectors:
S 0.624 0.125 0.250
S 0.126 0.625 0.250
S 0.375 0.376 0.750
S 0.875 0.874 0.750
F 0.500 0.500 0.000
F 0.250 0.750 0.500
In 0.000 0.000 0.000
In 0.750 0.250 0.500

=====

Here is a relaxed structure of In3SF7 from the Alexandria database. Energies are from PBE.

Calculated values
Electronic total energy = -4.46 eV/atom
Symmetry = P3m1
V = 20.409 Å³ per atom

a b c (Å): 5.456 6.893 6.893
angles (deg): 120.00 90.00 90.00
Sites, in units of the cell vectors:
In 0.779 0.495 0.505
In 0.779 0.495 0.990
In 0.779 0.010 0.505
S 0.488 0.333 0.667
F 0.987 0.188 0.812
F 0.987 0.188 0.375
F 0.980 0.667 0.333
F 0.616 0.814 0.186
F 0.616 0.372 0.186
F 0.616 0.814 0.628
F 0.987 0.625 0.812